Entry 1:
First-principles (PBE) data for an optimized crystal structure of SrAl2Au2, as listed in OQMD.

Unit cell a=4.358 b=4.358 c=11.535 alpha=90.00 beta=90.00 gamma=90.00
Atoms (fractional coordinates):
1 Sr 0.000 0.000 0.000
2 Sr 0.500 0.500 0.500
3 Al 0.000 0.500 0.250
4 Al 0.000 0.500 0.750
5 Al 0.500 0.000 0.250
6 Al 0.500 0.000 0.750
7 Au 0.000 0.000 0.374
8 Au 0.000 0.000 0.626
9 Au 0.500 0.500 0.126
10 Au 0.500 0.500 0.874

Entry 2:
First-principles (PBE) data for an optimized crystal structure of Sr2Al2Au, as listed in OQMD.

Unit cell a=6.379 b=6.379 c=7.440 alpha=90.00 beta=90.00 gamma=90.00
Atoms (fractional coordinates):
1 Sr 0.000 0.500 0.250
2 Sr 0.000 0.500 0.750
3 Sr 0.500 0.000 0.250
4 Sr 0.500 0.000 0.750
5 Al 0.000 0.000 0.163
6 Al 0.000 0.000 0.837
7 Al 0.500 0.500 0.337
8 Al 0.500 0.500 0.663
9 Au 0.000 0.000 0.500
10 Au 0.500 0.500 0.000

Entry 3:
First-principles (PBE) data for an optimized crystal structure of SrAlAu, as listed in OQMD.

Unit cell a=6.905 b=6.905 c=6.905 alpha=90.00 beta=90.00 gamma=90.00
Atoms (fractional coordinates):
1 Sr 0.000 0.000 0.000
2 Sr 0.000 0.500 0.500
3 Sr 0.500 0.000 0.500
4 Sr 0.500 0.500 0.000
5 Al 0.250 0.250 0.750
6 Al 0.250 0.750 0.250
7 Al 0.750 0.250 0.250
8 Al 0.750 0.750 0.750
9 Au 0.000 0.000 0.500
10 Au 0.000 0.500 0.000
11 Au 0.500 0.000 0.000
12 Au 0.500 0.500 0.500

no.,electronic total energy (eV/atom)
1,-3.79
2,-2.93
3,-2.99